# 1
The following is a DFT calculation (GGA-PBE) of an optimized crystal structure of TiAs2HC.

a = 4.850 Å, b = 4.850 Å, c = 4.062 Å
α = 90.00°, β = 90.00°, γ = 90.00°
Fractional positions:
Ti1 0.000 0.000 0.000
As1 0.000 0.500 0.000
As2 0.500 0.000 0.000
H1 0.500 0.500 0.500
C1 0.000 0.000 0.500

Calculated values
VASP energy ... -4.784 eV per atom
Size of the total moment ... 0.53 Bohr magnetons per cell

# 2
The following is a DFT calculation (GGA-PBE) of an optimized crystal structure of VAsH2C.

a = 3.104 Å, b = 3.104 Å, c = 5.416 Å
α = 90.00°, β = 90.00°, γ = 90.00°
Fractional positions:
V1 0.000 0.000 0.000
As1 0.000 0.000 0.500
H1 0.000 0.500 0.500
H2 0.500 0.000 0.500
C1 0.500 0.500 0.000

Calculated values
VASP energy ... -5.292 eV per atom
Size of the total moment ... 0.00 Bohr magnetons per cell

# 3
The following is a DFT calculation (GGA-PBE) of an optimized crystal structure of Hf3As2C.

a = 3.562 Å, b = 3.562 Å, c = 9.441 Å
α = 90.00°, β = 90.00°, γ = 120.00°
Fractional positions:
Hf1 0.000 0.000 0.000
Hf2 0.333 0.667 0.625
Hf3 0.667 0.333 0.375
As1 0.333 0.667 0.180
As2 0.667 0.333 0.820
C1 0.000 0.000 0.500

Calculated values
ΔE_f ... -0.878 eV per atom
Energy relative to the lowest polymorph listed for this composition ... 0.0 meV per atom
Size of the total moment ... 0.00 Bohr magnetons per cell

# 4
The following is a DFT calculation (GGA-PBE) of an optimized crystal structure of Hf4As2C.

a = 6.883 Å, b = 6.883 Å, c = 6.200 Å
α = 115.29°, β = 115.29°, γ = 29.47°
Fractional positions:
Hf1 0.100 0.100 0.412
Hf2 0.395 0.395 0.044
Hf3 0.605 0.605 0.956
Hf4 0.900 0.900 0.588
As1 0.262 0.262 0.264
As2 0.738 0.738 0.736
C1 0.000 0.000 0.000

Calculated values
ΔE_f ... -0.686 eV per atom
Size of the total moment ... 0.00 Bohr magnetons per cell

# 5
The following is a DFT calculation (GGA-PBE) of an optimized crystal structure of Hf12As5C2.

a = 8.148 Å, b = 8.148 Å, c = 7.951 Å
α = 105.19°, β = 105.19°, γ = 48.36°
Fractional positions:
Hf1 0.003 0.003 0.182
Hf2 0.085 0.604 0.914
Hf3 0.117 0.607 0.445
Hf4 0.393 0.883 0.555
Hf5 0.396 0.915 0.086
Hf6 0.494 0.494 0.792
Hf7 0.506 0.506 0.208
Hf8 0.604 0.085 0.914
Hf9 0.607 0.117 0.445
Hf10 0.883 0.393 0.555
Hf11 0.915 0.396 0.086
Hf12 0.997 0.997 0.818
As1 0.000 0.000 0.500
As2 0.289 0.289 0.642
As3 0.315 0.315 0.160
As4 0.685 0.685 0.840
As5 0.711 0.711 0.358
C1 0.265 0.735 0.000
C2 0.735 0.265 0.000

Calculated values
ΔE_f ... -0.654 eV per atom
Size of the total moment ... 0.00 Bohr magnetons per cell

# 6
The following is a DFT calculation (GGA-PBE) of an optimized crystal structure of Hf3As2C.

a = 6.384 Å, b = 6.384 Å, c = 6.195 Å
α = 99.94°, β = 99.94°, γ = 117.79°
Fractional positions:
Hf1 0.000 0.500 0.500
Hf2 0.126 0.266 0.001
Hf3 0.266 0.126 0.501
Hf4 0.500 0.000 0.000
Hf5 0.734 0.874 0.499
Hf6 0.874 0.734 0.999
As1 0.264 0.736 0.250
As2 0.422 0.578 0.750
As3 0.578 0.422 0.250
As4 0.736 0.264 0.750
C1 0.081 0.919 0.750
C2 0.919 0.081 0.250

Calculated values
ΔE_f ... -0.814 eV per atom
Energy relative to the lowest polymorph listed for this composition ... 63.7 meV per atom
Size of the total moment ... 0.00 Bohr magnetons per cell